Pu2NpF11 | PBE | relaxed

Unit cell a=8.383 b=10.507 c=11.164 alpha=90.00 beta=90.00 gamma=90.00
Space group Ibam (No. 72)
Unique sites:
Pu1 0.146 0.181 0.000 [8 per cell]
Np1 0.000 0.500 0.250 [4 per cell]
F1 0.000 0.000 0.000 [4 per cell]
F2 0.089 0.327 0.144 [16 per cell]
F3 0.129 0.216 0.500 [8 per cell]
F4 0.215 0.432 0.361 [16 per cell]

Values from the calculation:
density of states at the Fermi level	1.667	states/eV/atom
formation energy without anion corrections	-3.517	eV/atom